[1]
NaMg2Cd | Alexandria | PBE-GGA | optimized geometry; energy relative to the elements = 0.302 eV per formula unit; E_tot = -1.28 eV/atom
1.0
1.589 0.917 11.511
-1.589 0.917 11.511
0.000 -1.835 11.511
Na Mg Cd
1 2 1
Cartesian
0.000 0.000 0.000
0.000 0.000 3.169
0.000 0.000 31.364
0.000 0.000 17.266

***

[2]
Ba3Cu | Alexandria | PBE-GGA | optimized geometry; energy relative to the elements = 0.551 eV per formula unit; E_tot = -2.33 eV/atom
1.0
4.241 0.000 0.000
0.000 4.294 0.000
0.000 0.000 11.169
Ba Cu
3 1
Cartesian
0.000 0.000 0.000
0.000 2.147 3.867
2.121 2.147 7.651
2.121 0.000 5.210

***

[3]
Pm2HoTi | Alexandria | PBE-GGA | optimized geometry; energy relative to the elements = 0.917 eV per formula unit; E_tot = -5.26 eV/atom
1.0
3.914 0.000 0.000
0.000 3.914 0.000
0.000 0.000 7.459
Pm Ho Ti
2 1 1
Cartesian
0.000 0.000 1.611
0.000 0.000 5.848
1.957 1.957 3.730
1.957 1.957 0.000

***

[4]
Ta3AlFe | Alexandria | PBE-GGA | optimized geometry; energy relative to the elements = 8.658 eV per formula unit; E_tot = -7.82 eV/atom
1.0
4.630 0.000 0.000
0.000 4.630 0.000
0.000 0.000 4.630
Ta Al Fe
3 1 1
Cartesian
0.000 0.000 2.315
0.000 2.315 0.000
2.315 0.000 0.000
0.000 0.000 0.000
2.315 2.315 2.315

***

[5]
Cd2NiAg | Alexandria | PBE-GGA | optimized geometry; energy relative to the elements = 1.286 eV per formula unit; E_tot = -2.29 eV/atom
1.0
-2.021 2.021 9.540
2.021 -2.021 9.540
2.021 2.021 -9.540
Cd Ni Ag
4 2 2
Cartesian
3.032 0.967 -2.385
0.967 1.011 2.385
-1.011 1.054 7.155
1.054 1.011 11.925
0.000 0.000 0.000
0.000 2.021 4.770
2.021 0.000 4.770
0.000 0.000 9.540

***

[6]
Pm3InC | Alexandria | PBE-GGA | optimized geometry; energy relative to the elements = -1.807 eV per formula unit; E_tot = -5.60 eV/atom
1.0
5.088 0.000 0.000
0.000 5.088 0.000
0.000 0.000 5.088
Pm In C
3 1 1
Cartesian
0.000 0.000 2.544
0.000 2.544 0.000
2.544 0.000 0.000
2.544 2.544 2.544
0.000 0.000 0.000

***

[7]
Y6Te3Pt2S | Alexandria | PBE-GGA | optimized geometry; ΔE_f (raw) = -16.904 eV/f.u.; E_tot = -6.78 eV/atom
1.0
3.597 -6.242 0.000
3.597 6.242 0.000
-2.387 0.000 7.215
Y Te Pt S
6 3 2 1
Cartesian
-0.019 2.118 5.673
1.158 0.000 1.549
-0.019 -2.118 5.673
4.827 2.118 1.542
3.651 0.000 5.666
4.827 -2.118 1.542
-1.193 0.000 3.607
2.404 2.041 3.607
2.404 -2.041 3.607
3.597 4.153 0.000
3.597 -4.153 0.000
3.597 0.000 0.000

***

[8]
Y2ZnPdC | Alexandria | PBE-GGA | optimized geometry; energy relative to the elements = -1.873 eV per formula unit; E_tot = -6.10 eV/atom
1.0
4.947 0.000 0.000
0.000 4.947 0.000
0.000 0.000 3.902
Y Zn Pd C
2 1 1 1
Cartesian
0.000 2.474 0.000
2.474 0.000 0.000
0.000 0.000 1.951
2.474 2.474 1.951
0.000 0.000 0.000

***

[9]
VIrN3 | Alexandria | PBE-GGA | optimized geometry; ΔE_f (raw) = 6.392 eV/f.u.; E_tot = -7.31 eV/atom
1.0
3.859 0.000 0.000
0.000 3.859 0.000
0.000 0.000 3.859
V Ir N
1 1 3
Cartesian
0.000 0.000 0.000
1.929 1.929 1.929
0.000 1.929 1.929
1.929 0.000 1.929
1.929 1.929 0.000

***

[10]
LaP3Pt | Alexandria | PBE-GGA | optimized geometry; energy relative to the elements = 7.543 eV per formula unit; E_tot = -3.93 eV/atom
1.0
5.306 0.000 0.000
0.000 5.306 0.000
0.000 0.000 5.306
La P Pt
1 3 1
Cartesian
0.000 0.000 0.000
0.000 0.000 2.653
0.000 2.653 0.000
2.653 0.000 0.000
2.653 2.653 2.653

***

[11]
Nd2CdIr2 | Alexandria | PBE-GGA | optimized geometry; energy relative to the elements = -2.872 eV per formula unit; E_tot = -6.21 eV/atom
1.0
5.161 -2.806 0.000
5.161 2.806 0.000
-2.598 0.000 8.041
Nd Cd Ir
4 2 4
Cartesian
1.451 1.911 6.860
4.972 1.911 5.202
2.750 -1.911 2.839
6.272 -1.911 1.181
4.511 0.856 2.010
3.212 -0.856 6.031
2.428 0.885 3.881
6.594 0.885 0.140
1.129 -0.885 7.901
5.295 -0.885 4.161

***

[12]
Ac2Ga2Pd | Alexandria | PBE-GGA | optimized geometry; energy relative to the elements = -3.322 eV per formula unit; E_tot = -4.56 eV/atom
1.0
5.874 -2.266 0.000
5.874 2.266 0.000
-5.422 0.000 10.412
Ac Ga Pd
4 4 2
Cartesian
-0.988 0.000 4.025
-1.232 0.000 8.876
7.558 0.000 1.536
7.313 0.000 6.386
-4.489 0.000 9.587
2.406 0.000 4.055
3.919 0.000 6.356
10.814 0.000 0.824
4.096 0.000 1.892
2.229 0.000 8.519